Below is Sm2ScTe2O2 after structural relaxation, with properties calculated at the PBE-GGA level.

Lattice parameters (Å, degrees): 4.1844 4.1844 16.6852 90.00 90.00 90.00
With the nearest neighbours (Å) after each atom.
Space group I4/mmm (No. 139)
One atom of each set of equivalent atoms:
1 Sm 0.0000 0.0000 0.1040 [4 per cell]  4 O 2.72
2 Sc 0.0000 0.0000 0.5000 [2 per cell]  4 O 2.09
3 Te 0.0000 0.0000 0.3205 [4 per cell]  1 Sc 3.00, 4 Sm 3.22
4 O 0.0000 0.5000 0.0000 [4 per cell]  2 Sc 2.09

## Properties
The value obtained for the magnetization is 0.000 μB per cell. For the formation energy from raw total energies, the calculation gives -2.248 eV per atom. As for the density of states at the Fermi level: 5.84 states/eV/cell.


Below is CoTc2Os after structural relaxation, with properties calculated at the PBE-GGA level.

Lattice parameters (Å, degrees): 2.7105 4.2605 4.6860 90.00 90.00 90.00
With the nearest neighbours (Å) after each atom.
Space group Pmm2 (No. 25)
One atom of each set of equivalent atoms:
1 Co 0.0000 0.0000 0.0000 [1 per cell]  8 Tc 2.62-2.76, 2 Os 2.64, 2 Co 2.71
2 Tc 0.5000 0.0000 0.4861 [1 per cell]  4 Co 2.65-2.76, 4 Tc 2.65-2.71, 4 Os 2.66
3 Tc 0.5000 0.5000 0.1485 [1 per cell]  4 Co 2.62, 4 Os 2.63-2.78, 4 Tc 2.65-2.71
4 Os 0.0000 0.5000 0.6665 [1 per cell]  8 Tc 2.63-2.78, 2 Co 2.64, 2 Os 2.71

## Properties
The value obtained for the magnetization is 0.000 μB per cell. The calculation puts the calculated formation energy at -37 meV/atom. The polymorph energy (0 for the lowest one) is 0.000 eV per formula unit. As for the density of states at the Fermi level: 3.32 states/eV/cell.


Below is Tl2ZnSb after structural relaxation, with properties calculated at the PBE-GGA level.

Lattice parameters (Å, degrees): 3.4490 3.4490 31.3051 90.00 90.00 120.00
With the nearest neighbours (Å) after each atom.
Space group R3m (No. 160, hexagonal axes)
One atom of each set of equivalent atoms:
1 Tl 0.0000 0.0000 0.0000 [3 per cell]  3 Zn 3.07
2 Tl 0.0000 0.0000 0.2373 [3 per cell]  9 Tl 3.45-3.61, 3 Sb 3.58
3 Zn 0.0000 0.0000 0.7413 [3 per cell]  3 Sb 2.91, 3 Tl 3.07
4 Sb 0.0000 0.0000 0.4756 [3 per cell]  3 Zn 2.91

## Properties
The value obtained for the magnetization is 0.000 μB per cell. The polymorph energy (0 for the lowest one) is 0.377 eV per formula unit. For the formation energy from raw total energies, the calculation gives 0.118 eV per atom. As for the density of states at the Fermi level: 6.50 states/eV/cell.


Below is TbNd2Sm8 after structural relaxation, with properties calculated at the PBE-GGA level.

Lattice parameters (Å, degrees): 18.4970 5.1340 8.1289 90.00 105.29 90.00
With the nearest neighbours (Å) after each atom.
Space group C2/m (No. 12)
One atom of each set of equivalent atoms:
1 Tb 0.0000 0.0000 0.0000 [2 per cell]  12 Sm 3.62
2 Nd 0.2270 0.5000 0.6368 [4 per cell]  10 Sm 3.63-3.65, 2 Nd 3.64
3 Sm 0.0451 0.5000 0.7282 [4 per cell]  9 Sm 3.61-3.64, 2 Tb 3.62, 1 Nd 3.63
4 Sm 0.0902 0.0000 0.4530 [4 per cell]  8 Sm 3.61-3.65, 1 Tb 3.62, 3 Nd 3.64
5 Sm 0.1355 0.5000 0.1797 [4 per cell]  7 Sm 3.61-3.65, 2 Tb 3.62, 3 Nd 3.64-3.65
6 Sm 0.1813 0.0000 0.9090 [4 per cell]  1 Tb 3.62, 8 Sm 3.62-3.65, 3 Nd 3.63

## Properties
The value obtained for the magnetization is 0.000 μB per cell. The calculation puts the calculated formation energy at 15 meV/atom. The polymorph energy (0 for the lowest one) is 0.000 eV per formula unit. As for the density of states at the Fermi level: 32.99 states/eV/cell.


Below is CaCoAu4 after structural relaxation, with properties calculated at the PBE-GGA level.

Lattice parameters (Å, degrees): 7.8102 7.8102 7.8102 90.00 90.00 90.00
With the nearest neighbours (Å) after each atom.
Space group F-43m (No. 216)
One atom of each set of equivalent atoms:
1 Ca 0.0000 0.0000 0.0000 [4 per cell]  12 Au 3.24, 4 Co 3.38
2 Co 0.2500 0.2500 0.7500 [4 per cell]  12 Au 3.24, 4 Ca 3.38
3 Au 0.1245 0.1245 0.3755 [16 per cell]  6 Au 2.75-2.77

## Properties
The value obtained for the magnetization is 6.316 μB per cell. The calculation puts the calculated formation energy at -57 meV/atom. As for the density of states at the Fermi level: 19.60 states/eV/cell.


Below is LaMg2Rh2 after structural relaxation, with properties calculated at the PBE-GGA level.

Lattice parameters (Å, degrees): 7.7390 7.7390 3.1825 90.00 90.00 90.00
With the nearest neighbours (Å) after each atom.
Space group P4/mbm (No. 127)
One atom of each set of equivalent atoms:
1 La 0.0000 0.0000 0.0000 [2 per cell]  4 Rh 2.89, 2 La 3.18
2 Mg 0.1304 0.3696 0.5000 [4 per cell]  6 Rh 2.75-2.80, 1 Mg 2.85
3 Rh 0.1648 0.6648 0.0000 [4 per cell]  6 Mg 2.75-2.80, 2 La 2.89

## Properties
The value obtained for the magnetization is 0.000 μB per cell. The calculation puts the calculated formation energy at -541 meV/atom. The polymorph energy (0 for the lowest one) is 0.000 eV per formula unit. As for the density of states at the Fermi level: 2.94 states/eV/cell.


Below is AlNi2Pt2 after structural relaxation, with properties calculated at the PBE-GGA level.

Lattice parameters (Å, degrees): 6.1171 6.1171 3.7021 90.00 90.00 90.00
With the nearest neighbours (Å) after each atom.
Space group P4/mbm (No. 127)
One atom of each set of equivalent atoms:
1 Al 0.0000 0.0000 0.0000 [2 per cell]  4 Ni 2.38
2 Ni 0.1343 0.3657 0.0000 [4 per cell]  1 Ni 2.32, 2 Al 2.38, 2 Pt 2.54
3 Pt 0.1643 0.6643 0.5000 [4 per cell]  6 Ni 2.54-2.61, 1 Pt 2.84

## Properties
The value obtained for the magnetization is 0.001 μB per cell. The calculation puts the calculated formation energy at -247 meV/atom. The polymorph energy (0 for the lowest one) is 0.000 eV per formula unit. As for the density of states at the Fermi level: 7.39 states/eV/cell.


Below is MgIn3S after structural relaxation, with properties calculated at the PBE-GGA level.

Lattice parameters (Å, degrees): 5.4045 5.4045 5.4045 90.00 90.00 90.00
With the nearest neighbours (Å) after each atom.
Space group Pm-3m (No. 221)
One atom of each set of equivalent atoms:
1 Mg 0.0000 0.0000 0.0000 [1 per cell]  6 In 2.70
2 In 0.0000 0.0000 0.5000 [3 per cell]  2 Mg 2.70
3 S 0.5000 0.5000 0.5000 [1 per cell]  12 In 3.82

## Properties
The value obtained for the magnetization is 0.000 μB per cell. The polymorph energy (0 for the lowest one) is 0.831 eV per formula unit. For the formation energy from raw total energies, the calculation gives 0.403 eV per atom. As for the density of states at the Fermi level: 1.91 states/eV/cell.


Below is Rb5ThS4 after structural relaxation, with properties calculated at the PBE-GGA level.

Lattice parameters (Å, degrees): 19.8994 4.4528 9.2116 90.00 99.14 90.00
With the nearest neighbours (Å) after each atom.
Space group C2/m (No. 12)
One atom of each set of equivalent atoms:
1 Rb 0.0000 0.0000 0.0000 [2 per cell]  4 S 3.51
2 Rb 0.1573 0.5000 0.8116 [4 per cell]  3 S 3.15-3.25
3 Rb 0.1759 0.5000 0.3463 [4 per cell]  3 S 3.17-3.33
4 Th 0.0000 0.0000 0.5000 [2 per cell]  6 S 2.75-2.93
5 S 0.0064 0.5000 0.2963 [4 per cell]  2 Th 2.93, 1 Rb 3.25
6 S 0.1398 0.0000 0.5662 [4 per cell]  1 Th 2.75

## Properties
The value obtained for the magnetization is 0.002 μB per cell. For the formation energy from raw total energies, the calculation gives -1.249 eV per atom. As for the density of states at the Fermi level: 4.27 states/eV/cell.


Below is TbNdYIn after structural relaxation, with properties calculated at the PBE-GGA level.

Lattice parameters (Å, degrees): 4.8641 4.8928 4.9669 90.00 90.00 90.00
With the nearest neighbours (Å) after each atom.
Space group Pmmm (No. 47)
One atom of each set of equivalent atoms:
1 Tb 0.0000 0.0000 0.0000 [1 per cell]  4 Nd 3.45, 4 In 3.48, 4 Y 3.49
2 Nd 0.5000 0.5000 0.0000 [1 per cell]  4 Tb 3.45, 4 Y 3.48, 4 In 3.49
3 Y 0.0000 0.5000 0.5000 [1 per cell]  4 In 3.45, 4 Nd 3.48, 4 Tb 3.49
4 In 0.5000 0.0000 0.5000 [1 per cell]  4 Y 3.45, 4 Tb 3.48, 4 Nd 3.49

## Properties
The value obtained for the magnetization is 0.397 μB per cell. The calculation puts the calculated formation energy at -271 meV/atom. The polymorph energy (0 for the lowest one) is 0.000 eV per formula unit. As for the density of states at the Fermi level: 5.95 states/eV/cell.


Below is HfMnSi2Ru after structural relaxation, with properties calculated at the PBE-GGA level.

Lattice parameters (Å, degrees): 4.5109 4.5109 5.0472 90.00 90.00 90.00
With the nearest neighbours (Å) after each atom.
Space group P4/mmm (No. 123)
One atom of each set of equivalent atoms:
1 Hf 0.0000 0.0000 0.0000 [1 per cell]  2 Ru 2.52
2 Mn 0.5000 0.5000 0.0000 [1 per cell]  4 Hf 3.19, 8 Si 3.38
3 Si 0.0000 0.5000 0.5000 [2 per cell]  2 Ru 2.26
4 Ru 0.0000 0.0000 0.5000 [1 per cell]  4 Si 2.26, 2 Hf 2.52

## Properties
The value obtained for the magnetization is 3.229 μB per cell. For the formation energy from raw total energies, the calculation gives 0.483 eV per atom. As for the density of states at the Fermi level: 3.73 states/eV/cell.


Below is ScSbOsI2 after structural relaxation, with properties calculated at the PBE-GGA level.

Lattice parameters (Å, degrees): 5.4980 5.4980 5.8235 90.00 90.00 90.00
With the nearest neighbours (Å) after each atom.
Space group P4/mmm (No. 123)
One atom of each set of equivalent atoms:
1 Sc 0.0000 0.0000 0.0000 [1 per cell]  4 I 2.75, 2 Sb 2.91
2 Sb 0.0000 0.0000 0.5000 [1 per cell]  2 Sc 2.91
3 Os 0.5000 0.5000 0.5000 [1 per cell]  4 Sb 3.89, 8 I 4.00
4 I 0.0000 0.5000 0.0000 [2 per cell]  2 Sc 2.75

## Properties
The value obtained for the magnetization is 3.919 μB per cell. The polymorph energy (0 for the lowest one) is 1.943 eV per formula unit. For the formation energy from raw total energies, the calculation gives 1.043 eV per atom. As for the density of states at the Fermi level: 7.02 states/eV/cell.


Question: Number 5 is which compound?
Answer: CaCoAu4